#w
Ca4In3: optimized geometry, PBE.

Cell: 5.4099 5.4099 9.4041 Å, 73.28 73.28 60.00°
Last column: nearest neighbours and their distance in Å.
Fractional coordinates of all 7 atoms:
Ca1 0.3775 0.3775 0.8674  7 In 3.28-3.34
Ca2 0.1266 0.1266 0.6202  5 In 3.34-3.37
Ca3 0.8734 0.8734 0.3798  5 In 3.34-3.37
Ca4 0.6225 0.6225 0.1326  7 In 3.28-3.34
In1 0.7479 0.7479 0.7562  8 Ca 3.28-3.35
In2 0.2521 0.2521 0.2438  8 Ca 3.28-3.35
In3 0.0000 0.0000 0.0000  8 Ca 3.34-3.37

Values from the calculation:
space-group type	No. 166
Fermi-level density of states	5.63	states/eV per cell

#x
Ca4In3: optimized geometry, PBE.

Cell: 6.7286 8.7639 8.7639 Å, 113.69 104.83 104.83°
Last column: nearest neighbours and their distance in Å.
Fractional coordinates of all 14 atoms:
In1 0.2788 0.1297 0.7297  8 Ca 3.22-3.50
In2 0.4509 0.7297 0.6000  8 Ca 3.22-3.50
In3 0.8509 0.4000 0.1297  8 Ca 3.22-3.50
In4 0.1491 0.6000 0.8703  8 Ca 3.22-3.50
In5 0.5491 0.2703 0.4000  8 Ca 3.22-3.50
In6 0.7212 0.8703 0.2703  8 Ca 3.22-3.50
Ca1 0.5000 0.0000 0.0000  6 In 3.22, 2 Ca 3.36
Ca2 0.6301 0.5467 0.8502  7 In 3.35-3.50, 4 Ca 3.57-3.74
Ca3 0.3699 0.4533 0.1498  7 In 3.35-3.50, 4 Ca 3.57-3.74
Ca4 0.7798 0.1498 0.6964  7 In 3.35-3.50, 4 Ca 3.57-3.74
Ca5 0.0000 0.0000 0.0000  8 Ca 3.36-3.57, 6 In 3.71
Ca6 0.9166 0.6964 0.5467  7 In 3.35-3.50, 4 Ca 3.57-3.74
Ca7 0.2202 0.8502 0.3036  7 In 3.35-3.50, 4 Ca 3.57-3.74
Ca8 0.0834 0.3036 0.4533  7 In 3.35-3.50, 4 Ca 3.57-3.74

Values from the calculation:
space-group type	No. 148
Fermi-level density of states	7.38	states/eV per cell

What should be chosen as the least stable of them? Choose #w.

#w
CaIn5: optimized geometry, PBE.

Cell: 4.9168 6.4921 6.5302 Å, 120.41 90.00 112.25°
Last column: nearest neighbours and their distance in Å.
Fractional coordinates of all 6 atoms:
In1 0.3373 0.6746 0.0876  7 In 3.02-3.37, 2 Ca 3.38
In2 0.6628 0.3256 0.4173  7 In 3.02-3.36
In3 0.0000 0.0000 0.5000  2 Ca 3.27, 8 In 3.36-3.37
In4 0.6627 0.3254 0.9124  7 In 3.02-3.37, 2 Ca 3.38
In5 0.3372 0.6744 0.5827  7 In 3.02-3.36
Ca1 0.0000 0.0000 0.0000  10 In 3.27-3.39

Values from the calculation:
space-group type	No. 12
Fermi-level density of states	2.34	states/eV per cell

#x
CaIn5: optimized geometry, PBE.

Cell: 7.3463 7.3463 4.8395 Å, 90.00 90.00 142.24°
Last column: nearest neighbours and their distance in Å.
Fractional coordinates of all 6 atoms:
In1 0.8022 0.1978 0.5000  10 In 3.26-3.39, 2 Ca 3.38
In2 0.6431 0.3569 0.0000  10 In 3.24-3.39, 2 Ca 3.36
In3 0.4723 0.5277 0.5000  8 In 3.35-3.39, 4 Ca 3.39
In4 0.3013 0.6987 0.0000  10 In 3.24-3.39, 2 Ca 3.36
In5 0.1422 0.8578 0.5000  10 In 3.26-3.39, 2 Ca 3.38
Ca1 0.9722 0.0278 0.0000  12 In 3.36-3.39

Values from the calculation:
space-group type	No. 65
Fermi-level density of states	2.34	states/eV per cell

What should be chosen as the least stable of them? Choose #w.

#w
Ca2In3: optimized geometry, PBE.

Cell: 5.2747 5.2747 6.5697 Å, 90.00 90.00 120.00°
Last column: nearest neighbours and their distance in Å.
Fractional coordinates of all 5 atoms:
In1 0.3333 0.6667 0.3529  5 Ca 3.18-3.39
In2 0.6667 0.3333 0.6471  5 Ca 3.18-3.39
In3 0.0000 0.0000 0.0000  6 Ca 3.23
Ca1 0.6667 0.3333 0.1627  8 In 3.18-3.39
Ca2 0.3333 0.6667 0.8373  8 In 3.18-3.39

Values from the calculation:
space-group type	No. 164
Fermi-level density of states	2.75	states/eV per cell

#x
Ca2In3: optimized geometry, PBE.

Cell: 12.9441 12.9441 12.9441 Å, 16.41 16.41 16.41°
Last column: nearest neighbours and their distance in Å.
Fractional coordinates of all 5 atoms:
In1 0.1983 0.1983 0.1983  3 In 3.23, 3 Ca 3.42
In2 0.8017 0.8017 0.8017  3 In 3.23, 3 Ca 3.42
In3 0.0000 0.0000 0.0000  6 Ca 3.28
Ca1 0.3984 0.3984 0.3984  6 In 3.28-3.42
Ca2 0.6016 0.6016 0.6016  6 In 3.28-3.42

Values from the calculation:
space-group type	No. 166
Fermi-level density of states	2.07	states/eV per cell

What should be chosen as the least stable of them? Choose #w.

#w
Ca3In2: optimized geometry, PBE.

Cell: 8.0365 8.8616 8.8616 Å, 90.00 90.00 90.00°
Last column: nearest neighbours and their distance in Å.
Fractional coordinates of all 20 atoms:
Ca1 0.5000 0.3060 0.3060  6 In 3.26-3.34
Ca2 0.7500 0.0000 0.5000  4 In 3.51, 8 Ca 3.79-3.92
Ca3 0.0000 0.3493 0.3493  6 In 3.25-3.41
Ca4 0.0000 0.8060 0.1940  6 In 3.26-3.34
Ca5 0.5000 0.6940 0.6940  6 In 3.26-3.34
Ca6 0.2500 0.5000 0.0000  4 In 3.51, 8 Ca 3.79-3.92
Ca7 0.0000 0.1940 0.8060  6 In 3.26-3.34
Ca8 0.7500 0.5000 0.0000  4 In 3.51, 8 Ca 3.79-3.92
Ca9 0.5000 0.8493 0.1507  6 In 3.25-3.41
Ca10 0.5000 0.1507 0.8493  6 In 3.25-3.41
Ca11 0.2500 0.0000 0.5000  4 In 3.51, 8 Ca 3.79-3.92
Ca12 0.0000 0.6507 0.6507  6 In 3.25-3.41
In1 0.7065 0.3740 0.6260  2 In 3.16-3.32, 8 Ca 3.25-3.51
In2 0.2935 0.6260 0.3740  2 In 3.16-3.32, 8 Ca 3.25-3.51
In3 0.2935 0.3740 0.6260  2 In 3.16-3.32, 8 Ca 3.25-3.51
In4 0.7935 0.1260 0.1260  2 In 3.16-3.32, 8 Ca 3.25-3.51
In5 0.2065 0.1260 0.1260  2 In 3.16-3.32, 8 Ca 3.25-3.51
In6 0.7065 0.6260 0.3740  2 In 3.16-3.32, 8 Ca 3.25-3.51
In7 0.2065 0.8740 0.8740  2 In 3.16-3.32, 8 Ca 3.25-3.51
In8 0.7935 0.8740 0.8740  2 In 3.16-3.32, 8 Ca 3.25-3.51

Values from the calculation:
space-group type	No. 136
Fermi-level density of states	14.84	states/eV per cell

#x
Ca3In2: optimized geometry, PBE.

Cell: 5.3741 5.3741 6.6693 Å, 90.00 90.00 120.00°
Last column: nearest neighbours and their distance in Å.
Fractional coordinates of all 5 atoms:
In1 0.6667 0.3333 0.1541  8 Ca 3.27-3.35
In2 0.3333 0.6667 0.8459  8 Ca 3.27-3.35
Ca1 0.0000 0.0000 0.0000  6 In 3.27
Ca2 0.6667 0.3333 0.6567  5 In 3.32-3.35
Ca3 0.3333 0.6667 0.3433  5 In 3.32-3.35

Values from the calculation:
space-group type	No. 164
Fermi-level density of states	2.55	states/eV per cell

What should be chosen as the least stable of them? Choose #x.